A crystal of RbVO3 relaxed with PBEsol, computed with SCAN.

Computed properties:
raw total energy: -278.7 eV/cell
SG: Pbcm
ΔE_f (raw): -2553 meV/atom
calculated volume: 17.0 Å³/atom

a b c (Å): 5.2437 5.7113 11.3356
angles (deg): 90.00 90.00 90.00
Sites, in units of the cell vectors:
O  0.5682  0.0000  0.2500
Rb  0.0710  0.2500  0.8994
O  0.4318  0.5000  0.7500
V  0.4655  0.2500  0.1656
V  0.5345  0.2500  0.6656
O  0.3983  0.7500  0.9649
V  0.4655  0.7500  0.3344
Rb  0.0710  0.7500  0.6006
O  0.1518  0.7500  0.3491
Rb  0.9290  0.2500  0.3994
O  0.4318  0.0000  0.7500
O  0.8482  0.2500  0.6509
Rb  0.9290  0.7500  0.1006
V  0.5345  0.7500  0.8344
O  0.1518  0.2500  0.1509
O  0.3983  0.2500  0.5351
O  0.6017  0.7500  0.4649
O  0.5682  0.5000  0.2500
O  0.6017  0.2500  0.0351
O  0.8482  0.7500  0.8491